## P
Computed, not measured: crystalline KP2ICl at its relaxed geometry at the GGA-PBE level of DFT.

POSCAR file:
```
KP2ICl
1.0
6.647 0.000 0.000
0.000 6.647 0.000
0.000 0.000 5.535
I P K Cl
1 2 1 1
Direct
0.500 0.500 0.500 I
0.000 0.500 0.000 P
0.500 0.000 0.000 P
0.000 0.000 0.000 K
0.000 0.000 0.500 Cl
```

Results
Crystal system: tetragonal
Symmetry: No. 123



## Q
Computed, not measured: crystalline KP2ICl at its relaxed geometry at the GGA-PBE level of DFT.

POSCAR file:
```
KP2ICl
1.0
5.068 0.000 0.000
0.000 5.068 0.000
0.000 0.000 7.119
I P K Cl
1 2 1 1
Direct
0.000 0.000 0.000 I
0.000 0.500 0.000 P
0.500 0.000 0.000 P
0.500 0.500 0.500 K
0.000 0.000 0.500 Cl
```

Results
Crystal system: tetragonal
Symmetry: No. 123



The most stable arrangement is Q, and the next structure is 53.6 kJ/mol of atoms less stable.



## P
Computed, not measured: crystalline KPbICl2 at its relaxed geometry at the GGA-PBE level of DFT.

POSCAR file:
```
KPbICl2
1.0
5.539 0.000 0.000
0.000 5.539 0.000
0.000 0.000 6.273
Pb I K Cl
1 1 1 2
Direct
0.000 0.000 0.000 Pb
0.000 0.000 0.500 I
0.500 0.500 0.500 K
0.000 0.500 0.000 Cl
0.500 0.000 0.000 Cl
```

Results
Crystal system: tetragonal
Symmetry: No. 123



## Q
Computed, not measured: crystalline KPbICl2 at its relaxed geometry at the GGA-PBE level of DFT.

POSCAR file:
```
KPbICl2
1.0
4.791 0.000 0.000
0.000 4.791 0.000
-2.396 -2.396 7.631
K Pb I Cl
1 1 1 2
Direct
0.127 0.127 0.253 K
0.858 0.858 0.716 Pb
0.494 0.494 0.988 I
0.761 0.261 0.521 Cl
0.261 0.761 0.521 Cl
```

Results
Crystal system: tetragonal
Symmetry: No. 107



The most stable arrangement is Q, and the next structure is 1.1 kJ/mol of atoms less stable.